[1]
# K2ErVF6, optimized geometry, DFT GGA+U
data_K2ErVF6
_cell_length_a 5.996
_cell_length_b 8.768
_cell_length_c 6.457
_cell_angle_alpha 90.00
_cell_angle_beta 90.00
_cell_angle_gamma 90.00
_symmetry_space_group_name_H-M 'P m m n'
_symmetry_Int_Tables_number 59
loop_
_symmetry_equiv_pos_as_xyz
'x,y,z'
'-x,-y,-z'
'-x+1/2,-y+1/2,z'
'x+1/2,y+1/2,-z'
'x+1/2,-y,-z'
'-x+1/2,y,z'
'-x,y+1/2,-z'
'x,-y+1/2,z'
loop_
_atom_site_label
_atom_site_type_symbol
_atom_site_fract_x
_atom_site_fract_y
_atom_site_fract_z
_atom_site_occupancy
K1 K 0.250 0.019 0.238 1
Er1 Er 0.250 0.250 0.743 1
V1 V 0.250 0.750 0.754 1
F1 F 0.017 0.250 0.018 1
F2 F 0.022 0.250 0.468 1
F3 F 0.250 0.000 0.758 1
# Total magnetization, μB/atom: 0.332
# Total energy, eV for the cell shown: -109.457

[2]
# K2ErV3F12, optimized geometry, DFT GGA+U
data_K2ErV3F12
_cell_length_a 7.5680
_cell_length_b 7.5680
_cell_length_c 19.4175
_cell_angle_alpha 90.00
_cell_angle_beta 90.00
_cell_angle_gamma 120.00
_symmetry_space_group_name_H-M 'R -3 m'
_symmetry_Int_Tables_number 166
_symmetry_space_group_name_Hall '-R 3 2"'
loop_
_atom_site_label
_atom_site_type_symbol
_atom_site_fract_x
_atom_site_fract_y
_atom_site_fract_z
_atom_site_occupancy
K1 K 0.0000 0.0000 0.0993 1
Er1 Er 0.0000 0.0000 0.5000 1
V1 V 0.0000 0.5000 0.0000 1
F1 F 0.0600 0.5300 0.1053 1
F2 F 0.0663 0.5332 0.3538 1
# Total magnetization, μB/atom: 0.444
# Total energy, eV for the cell shown: -320.599

total magnetization of number 1 (K2ErVF6)? 0.332 μB/atom

Which value of total energy does entry 2 give? -320.599 eV for the cell shown